Record 1
A plane-wave DFT calculation with PBE-GGA was carried out for a geometry-optimized Rb2HfMnS4 structure.

Cell: 6.0430 14.0142 24.3805 Å, 90.00 90.00 90.00°
Space group Fddd (No. 70, origin choice 2)
One atom of each set of equivalent atoms:
1 Rb 0.1250 0.1250 0.3033 x16
2 Hf 0.1250 0.1250 0.1250 x8
3 Mn 0.1250 0.1250 0.6250 x8
4 S 0.1220 0.2785 0.4278 x32

Calculated values
ΔE_f (raw): -1.2319 eV/atom
Total magnetic moment: 40.00 Bohr magnetons per cell
V: 32.3 Å³ per atom

---

Record 2
A plane-wave DFT calculation with PBE-GGA was carried out for a geometry-optimized Ga3TcRu structure.

Cell: 4.7368 4.7368 4.7368 Å, 90.00 90.00 90.00°
Space group Pm-3m (No. 221)
One atom of each set of equivalent atoms:
1 Ga 0.0000 0.0000 0.5000 x3
2 Tc 0.5000 0.5000 0.5000 x1
3 Ru 0.0000 0.0000 0.0000 x1

Calculated values
E_form: 0.684 eV per atom
Total magnetic moment: 4.04 Bohr magnetons per cell
V: 21.3 Å³ per atom
DOS at the Fermi energy: 0.551 states/eV per atom
Relative energy among the computed polymorphs: 0 meV per atom

---

Record 3
A plane-wave DFT calculation with PBE-GGA was carried out for a geometry-optimized PuSnO5 structure.

Cell: 9.1065 6.2690 8.3022 Å, 90.00 118.88 90.00°
Space group C2/c (No. 15)
One atom of each set of equivalent atoms:
1 Pu 0.0000 0.0000 0.0000 x4
2 Sn 0.0000 0.4751 0.2500 x4
3 O 0.0000 0.1489 0.2500 x4
4 O 0.0366 0.3078 0.9471 x8
5 O 0.2406 0.0441 0.6430 x8

Calculated values
ΔE_f (raw): -1.9526 eV/atom
Total magnetic moment: 8.00 Bohr magnetons per cell
V: 14.8 Å³ per atom
DOS at the Fermi energy: 0.626 states/eV per atom

---

Record 4
A plane-wave DFT calculation with PBE-GGA was carried out for a geometry-optimized ZrTlSe2 structure.

Cell: 3.7647 3.7647 25.3178 Å, 90.00 90.00 120.00°
Space group R3m (No. 160, hexagonal axes)
One atom of each set of equivalent atoms:
1 Zr 0.0000 0.0000 0.0000 x3
2 Tl 0.0000 0.0000 0.1645 x3
3 Se 0.0000 0.0000 0.6001 x3
4 Se 0.0000 0.0000 0.7330 x3

Calculated values
ΔE_f (raw): -1.0029 eV/atom
Total magnetic moment: 1.89 Bohr magnetons per cell
V: 25.9 Å³ per atom
DOS at the Fermi energy: 0.479 states/eV per atom